Tb4Se3 PBE-GGA optimized geometry; size of the total moment = 0.00 Bohr magnetons per cell; space-group type = R-3m (166); E = -5.629 eV/atom
1.0
-1.8148 -0.0292 3.5516
1.8676 -1.5160 3.1815
5.1233 11.4568 4.9516
Se Tb
3 4
Cartesian
1.3518 2.6134 2.9518
3.8243 7.2983 8.7329
0.0000 0.0000 0.0000
4.4441 9.3080 6.8265
3.1231 6.7668 3.8910
0.7320 0.6037 4.8581
2.0530 3.1449 7.7936